# 1
CsBaTlO3: optimized geometry, PBE.

Unit cell a=3.9989 b=13.7133 c=11.7389 alpha=90.00 beta=90.00 gamma=90.00
Closest atoms and distances in Å follow each position.
Space group Cmcm (No. 63)
One atom of each set of equivalent atoms:
Cs 0.0000 0.2451 0.2500 (multiplicity 4)  6 O 3.22-3.42
Ba 0.0000 0.5000 0.0000 (multiplicity 4)  4 O 2.68
Tl 0.0000 0.0280 0.7500 (multiplicity 4)  4 O 2.12-2.34
O 0.0000 0.1035 0.5925 (multiplicity 8)  1 Tl 2.12
O 0.0000 0.4391 0.7500 (multiplicity 4)  2 Tl 2.34

- formation energy without anion corrections (eV/atom) = -1.422
- VASP energy (eV per atom) = -4.758

---

# 2
NiAs2: optimized geometry, PBE.

Unit cell a=3.6251 b=13.8682 c=4.4127 alpha=90.00 beta=90.00 gamma=90.00
Closest atoms and distances in Å follow each position.
Space group Cmcm (No. 63)
One atom of each set of equivalent atoms:
Ni 0.0000 0.1565 0.2500 (multiplicity 4)  6 As 2.34-2.46
As 0.0000 0.2232 0.7500 (multiplicity 4)  4 Ni 2.39-2.46
As 0.0000 0.4502 0.7500 (multiplicity 4)  2 Ni 2.34, 2 As 2.60

- E_form (meV per atom) = -117
- N(E_F) (states/eV per atom) = 0.329
- VASP energy (eV per atom) = -5.144

---

# 3
MgFeMo2: optimized geometry, PBE.

Unit cell a=2.8002 b=2.8002 c=27.2583 alpha=90.00 beta=90.00 gamma=120.00
Closest atoms and distances in Å follow each position.
Space group R3m (No. 160, hexagonal axes)
One atom of each set of equivalent atoms:
Mg 0.0000 0.0000 0.0000 (multiplicity 3)  3 Fe 2.76, 6 Mg 2.80, 3 Mo 3.00
Fe 0.0000 0.0000 0.7486 (multiplicity 3)  3 Mo 2.52, 3 Mg 2.76, 6 Fe 2.80
Mo 0.0000 0.0000 0.2408 (multiplicity 3)  9 Mo 2.80-2.89, 3 Mg 3.00
Mo 0.0000 0.0000 0.4862 (multiplicity 3)  3 Fe 2.52, 6 Mo 2.80

- E_form (meV per atom) = 389
- N(E_F) (states/eV per atom) = 0.991
- VASP energy (eV per atom) = -7.541

---

# 4
Cd3In4Ag: optimized geometry, PBE.

Unit cell a=6.5775 b=6.5775 c=6.5775 alpha=90.00 beta=90.00 gamma=90.00
Closest atoms and distances in Å follow each position.
Space group P-43m (No. 215)
One atom of each set of equivalent atoms:
Cd 0.0000 0.0000 0.5000 (multiplicity 3)  4 In 2.90
In 0.2622 0.2622 0.7378 (multiplicity 4)  1 Ag 2.71, 3 Cd 2.90
Ag 0.5000 0.5000 0.5000 (multiplicity 1)  4 In 2.71

- E_form (meV per atom) = 382
- N(E_F) (states/eV per atom) = 0.539
- VASP energy (eV per atom) = -1.687

---

# 5
Tb6Y2In: optimized geometry, PBE.

Unit cell a=17.3658 b=9.4318 c=3.5241 alpha=90.00 beta=90.19 gamma=90.00
Closest atoms and distances in Å follow each position.
Space group C2/m (No. 12)
One atom of each set of equivalent atoms:
Tb 0.0000 0.1982 0.0000 (multiplicity 4)  2 In 3.35, 7 Tb 3.52-3.74, 2 Y 3.64
Tb 0.1628 0.3256 0.4989 (multiplicity 8)  1 In 3.27, 6 Tb 3.29-3.55, 4 Y 3.55-3.65
Y 0.1797 0.0000 0.9983 (multiplicity 4)  2 Y 3.52, 10 Tb 3.55-3.65
In 0.0000 0.5000 0.5000 (multiplicity 2)  8 Tb 3.27-3.35, 2 In 3.52

- E_form (meV per atom) = 25
- N(E_F) (states/eV per atom) = 1.492
- VASP energy (eV per atom) = -4.803
- energy above the lowest structure with this stoichiometry (meV/atom) = 124

---

# 6
MnPBr: optimized geometry, PBE.

Unit cell a=6.4073 b=6.4073 c=6.4073 alpha=90.00 beta=90.00 gamma=90.00
Closest atoms and distances in Å follow each position.
Space group F-43m (No. 216)
One atom of each set of equivalent atoms:
Mn 0.0000 0.0000 0.0000 (multiplicity 4)  4 P 2.77
P 0.2500 0.2500 0.7500 (multiplicity 4)  4 Mn 2.77, 4 Br 2.77
Br 0.0000 0.0000 0.5000 (multiplicity 4)  4 P 2.77

- formation energy without anion corrections (eV/atom) = 0.734
- N(E_F) (states/eV per atom) = 0.532
- VASP energy (eV per atom) = -4.683
- energy above the lowest structure with this stoichiometry (meV/atom) = 953

---

# 7
Tm4AlPd2: optimized geometry, PBE.

Unit cell a=4.8010 b=4.8010 c=26.3902 alpha=90.00 beta=90.00 gamma=120.00
Closest atoms and distances in Å follow each position.
Space group R-3m (No. 166, hexagonal axes)
One atom of each set of equivalent atoms:
Tm 0.0000 0.0000 0.1197 (multiplicity 6)  3 Al 3.04, 3 Pd 3.06
Tm 0.0000 0.0000 0.2940 (multiplicity 6)  4 Pd 2.89-2.90
Al 0.0000 0.0000 0.5000 (multiplicity 3)  2 Pd 2.54
Pd 0.0000 0.0000 0.4037 (multiplicity 6)  1 Al 2.54

- E_form (meV per atom) = -528
- N(E_F) (states/eV per atom) = 0.670
- VASP energy (eV per atom) = -5.101
- energy above the lowest structure with this stoichiometry (meV/atom) = 25

---

# 8
Pm5YTl3: optimized geometry, PBE.

Unit cell a=9.5660 b=9.5660 c=6.8871 alpha=90.00 beta=90.00 gamma=120.00
Closest atoms and distances in Å follow each position.
Space group P6_3/mcm (No. 193)
One atom of each set of equivalent atoms:
Pm 0.0000 0.3401 0.2500 (multiplicity 6)  5 Tl 3.18-3.45
Pm 0.3333 0.6667 0.0000 (multiplicity 4)  8 Pm 3.44-3.60, 6 Tl 3.66
Y 0.0000 0.0000 0.0000 (multiplicity 2)  2 Y 3.44, 6 Tl 3.55, 6 Pm 3.68
Tl 0.0000 0.3241 0.7500 (multiplicity 6)  5 Pm 3.18-3.45, 2 Y 3.55

- E_form (meV per atom) = -273
- N(E_F) (states/eV per atom) = 1.276
- VASP energy (eV per atom) = -4.420

---

# 9
NbGaSe3: optimized geometry, PBE.

Unit cell a=10.9616 b=3.6606 c=13.0922 alpha=90.00 beta=90.00 gamma=90.00
Closest atoms and distances in Å follow each position.
Space group Pnma (No. 62)
One atom of each set of equivalent atoms:
Nb 0.0626 0.2500 0.0803 (multiplicity 4)  6 Se 2.59-2.88
Ga 0.2084 0.7500 0.2723 (multiplicity 4)  4 Se 2.40-2.54
Se 0.0701 0.2500 0.3000 (multiplicity 4)  2 Ga 2.40
Se 0.1032 0.2500 0.8853 (multiplicity 4)  1 Ga 2.54, 3 Nb 2.59-2.62
Se 0.2444 0.7500 0.0912 (multiplicity 4)  1 Ga 2.40

- formation energy without anion corrections (eV/atom) = -0.703
- N(E_F) (states/eV per atom) = 0.243
- VASP energy (eV per atom) = -5.413
- energy above the lowest structure with this stoichiometry (meV/atom) = 0

---

# 10
CaSi3Pd10: optimized geometry, PBE.

Unit cell a=12.2529 b=12.2529 c=12.2529 alpha=90.00 beta=90.00 gamma=90.00
Closest atoms and distances in Å follow each position.
Space group Fm-3m (No. 225)
One atom of each set of equivalent atoms:
Ca 0.2500 0.2500 0.2500 (multiplicity 8)  4 Pd 2.85
Si 0.0000 0.0000 0.2328 (multiplicity 24)  8 Pd 2.40-2.46
Pd 0.0000 0.1711 0.3289 (multiplicity 48)  2 Si 2.40
Pd 0.1155 0.1155 0.1155 (multiplicity 32)  3 Si 2.46

- formation energy without anion corrections (eV/atom) = -0.634
- N(E_F) (states/eV per atom) = 0.529
- VASP energy (eV per atom) = -5.648

---

# 11
TlCoS3: optimized geometry, PBE.

Unit cell a=4.5883 b=4.5883 c=4.5883 alpha=90.00 beta=90.00 gamma=90.00
Closest atoms and distances in Å follow each position.
Space group Pm-3m (No. 221)
One atom of each set of equivalent atoms:
Tl 0.0000 0.0000 0.0000 (multiplicity 1)  12 S 3.24
Co 0.5000 0.5000 0.5000 (multiplicity 1)  6 S 2.29
S 0.0000 0.5000 0.5000 (multiplicity 3)  2 Co 2.29

- formation energy without anion corrections (eV/atom) = 0.206
- N(E_F) (states/eV per atom) = 1.227
- VASP energy (eV per atom) = -4.165
- energy above the lowest structure with this stoichiometry (meV/atom) = 0

---

# 12
Fe2ReCl: optimized geometry, PBE.

Unit cell a=2.8444 b=2.8444 c=24.6577 alpha=90.00 beta=90.00 gamma=120.00
Closest atoms and distances in Å follow each position.
Space group R3m (No. 160, hexagonal axes)
One atom of each set of equivalent atoms:
Fe 0.0000 0.0000 0.0000 (multiplicity 3)  3 Cl 2.41, 3 Fe 2.56
Fe 0.0000 0.0000 0.2538 (multiplicity 3)  3 Re 2.52, 3 Fe 2.56
Re 0.0000 0.0000 0.5096 (multiplicity 3)  3 Fe 2.52
Cl 0.0000 0.0000 0.7379 (multiplicity 3)  3 Fe 2.41

- formation energy without anion corrections (eV/atom) = 0.410
- N(E_F) (states/eV per atom) = 1.097
- VASP energy (eV per atom) = -7.395
- energy above the lowest structure with this stoichiometry (meV/atom) = 136

---

# 13
Tl3RhS: optimized geometry, PBE.

Unit cell a=5.2278 b=5.2278 c=5.2278 alpha=90.00 beta=90.00 gamma=90.00
Closest atoms and distances in Å follow each position.
Space group Pm-3m (No. 221)
One atom of each set of equivalent atoms:
Tl 0.0000 0.0000 0.5000 (multiplicity 3)  2 Rh 2.61
Rh 0.0000 0.0000 0.0000 (multiplicity 1)  6 Tl 2.61
S 0.5000 0.5000 0.5000 (multiplicity 1)  12 Tl 3.70

- formation energy without anion corrections (eV/atom) = 0.057
- N(E_F) (states/eV per atom) = 0.422
- VASP energy (eV per atom) = -3.658
- energy above the lowest structure with this stoichiometry (meV/atom) = 0

---

# 14
Nd5AlSi2: optimized geometry, PBE.

Unit cell a=7.8643 b=7.8643 c=14.3898 alpha=90.00 beta=90.00 gamma=90.00
Closest atoms and distances in Å follow each position.
Space group I4/mcm (No. 140)
One atom of each set of equivalent atoms:
Nd 0.0000 0.0000 0.0000 (multiplicity 4)  4 Si 3.16, 8 Nd 3.54
Nd 0.1787 0.3213 0.1417 (multiplicity 16)  3 Si 3.07-3.12, 2 Al 3.28
Al 0.0000 0.0000 0.2500 (multiplicity 4)  10 Nd 3.28-3.60
Si 0.1143 0.3857 0.5000 (multiplicity 8)  1 Si 2.54

- formation energy without anion corrections (eV/atom) = -0.490
- N(E_F) (states/eV per atom) = 0.869
- VASP energy (eV per atom) = -5.294

---

# 15
BeInAg2: optimized geometry, PBE.

Unit cell a=3.1429 b=4.6316 c=9.2486 alpha=90.00 beta=90.00 gamma=90.00
Closest atoms and distances in Å follow each position.
Space group Immm (No. 71)
One atom of each set of equivalent atoms:
Be 0.0000 0.0000 0.0000 (multiplicity 2)  4 Ag 2.49
In 0.0000 0.0000 0.5000 (multiplicity 2)  4 Be 2.80, 8 Ag 3.02-3.12
Ag 0.0000 0.5000 0.2909 (multiplicity 4)  2 Be 2.49

- E_form (meV per atom) = 182
- N(E_F) (states/eV per atom) = 0.216
- VASP energy (eV per atom) = -2.859
- energy above the lowest structure with this stoichiometry (meV/atom) = 44

---

# 16
TcP2Pb: optimized geometry, PBE.

Unit cell a=4.7007 b=4.7007 c=3.2157 alpha=90.00 beta=90.00 gamma=90.00
Closest atoms and distances in Å follow each position.
Space group P4/mmm (No. 123)
One atom of each set of equivalent atoms:
Tc 0.0000 0.0000 0.0000 (multiplicity 1)  8 P 2.85
P 0.0000 0.5000 0.5000 (multiplicity 2)  4 Pb 2.85, 4 Tc 2.85
Pb 0.5000 0.5000 0.0000 (multiplicity 1)  8 P 2.85

- E_form (meV per atom) = 768
- N(E_F) (states/eV per atom) = 1.066
- VASP energy (eV per atom) = -5.456

---

# 17
LaSmEu: optimized geometry, PBE.

Unit cell a=3.7367 b=3.7367 c=9.2039 alpha=90.00 beta=90.00 gamma=120.00
Closest atoms and distances in Å follow each position.
Space group P3m1 (No. 156)
One atom of each set of equivalent atoms:
La 0.0000 0.0000 0.0000 (multiplicity 1)  3 Sm 3.63, 6 La 3.74, 3 Eu 3.86
Sm 0.3333 0.6667 0.6834 (multiplicity 1)  3 La 3.63, 6 Sm 3.74, 3 Eu 3.77
Eu 0.6667 0.3333 0.3473 (multiplicity 1)  6 Eu 3.74, 3 Sm 3.77, 3 La 3.86

- E_form (meV per atom) = 33
- N(E_F) (states/eV per atom) = 1.224
- VASP energy (eV per atom) = -6.607